1.
First-principles (PBE) data for a relaxed structure of MgAl2Ag, as listed in the Alexandria database.

a = 5.103 Å, b = 5.103 Å, c = 5.035 Å
α = 82.04°, β = 82.04°, γ = 33.56°
Positions (direct):
Mg 0.502 0.502 0.492
Ag 0.251 0.251 0.255
Al 0.999 0.999 0.992
Al 0.748 0.748 0.761

## Properties
SG: No. 8
Formation energy in eV per formula unit: -0.10
DFT total energy in eV for the cell shown: -12.03



2.
First-principles (PBE) data for a relaxed structure of MgAl2Ag, as listed in the Alexandria database.

a = 9.133 Å, b = 9.133 Å, c = 9.133 Å
α = 19.29°, β = 19.29°, γ = 19.29°
Positions (direct):
Al 0.496 0.496 0.496
Al 0.004 0.004 0.004
Mg 0.250 0.250 0.250
Ag 0.750 0.750 0.750

## Properties
SG: No. 166
Formation energy in eV per formula unit: -0.14
DFT total energy in eV for the cell shown: -12.07



3.
First-principles (PBE) data for a relaxed structure of MgAl2Ag, as listed in the Alexandria database.

a = 4.279 Å, b = 4.081 Å, c = 4.081 Å
α = 90.00°, β = 90.00°, γ = 90.00°
Positions (direct):
Al 0.000 0.000 0.500
Al 0.000 0.500 0.000
Ag 0.500 0.500 0.500
Mg 0.500 0.000 0.000

## Properties
SG: No. 123
Formation energy in eV per formula unit: -0.17
DFT total energy in eV for the cell shown: -12.10



4.
First-principles (PBE) data for a relaxed structure of Mg3Al4Ag2, as listed in the Alexandria database.

a = 3.057 Å, b = 7.150 Å, c = 8.721 Å
α = 111.61°, β = 100.10°, γ = 90.00°
Positions (direct):
Mg 0.000 0.000 0.000
Mg 0.873 0.557 0.746
Mg 0.127 0.443 0.254
Ag 0.349 0.874 0.698
Ag 0.651 0.126 0.302
Al 0.715 0.820 0.430
Al 0.547 0.701 0.094
Al 0.453 0.299 0.906
Al 0.285 0.180 0.570

## Properties
SG: No. 12
Formation energy in eV per formula unit: -0.23
DFT total energy in eV for the cell shown: -25.69



5.
First-principles (PBE) data for a relaxed structure of MgAl2Ag, as listed in the Alexandria database.

a = 4.423 Å, b = 4.423 Å, c = 5.241 Å
α = 65.04°, β = 65.04°, γ = 60.00°
Positions (direct):
Al 0.058 0.058 0.827
Al 0.271 0.271 0.187
Mg 0.487 0.487 0.538
Ag 0.684 0.684 0.947

## Properties
SG: No. 160
Formation energy in eV per formula unit: -0.07
DFT total energy in eV for the cell shown: -12.00



6.
First-principles (PBE) data for a relaxed structure of Mg4AlAg, as listed in the Alexandria database.

a = 5.673 Å, b = 5.673 Å, c = 5.673 Å
α = 60.00°, β = 60.00°, γ = 60.00°
Positions (direct):
Mg 0.375 0.375 0.875
Mg 0.375 0.875 0.375
Mg 0.375 0.375 0.375
Mg 0.875 0.375 0.375
Al 0.000 0.000 0.000
Ag 0.750 0.750 0.750

## Properties
Excess energy over the best structure of this formula in the dataset in kJ per mole of atoms: 24.9
SG: No. 216
Formation energy in eV per formula unit: 1.10
DFT total energy in eV for the cell shown: -11.87



7.
First-principles (PBE) data for a relaxed structure of MgAlAg3, as listed in the Alexandria database.

a = 4.948 Å, b = 4.948 Å, c = 4.948 Å
α = 90.00°, β = 90.00°, γ = 90.00°
Positions (direct):
Ag 0.500 0.000 0.000
Ag 0.000 0.500 0.000
Ag 0.000 0.000 0.500
Al 0.500 0.500 0.500
Mg 0.000 0.000 0.000

## Properties
Excess energy over the best structure of this formula in the dataset in kJ per mole of atoms: 78.9
SG: No. 221
Formation energy in eV per formula unit: 3.42
DFT total energy in eV for the cell shown: -10.47



8.
First-principles (PBE) data for a relaxed structure of Mg3Al4Ag4, as listed in the Alexandria database.

a = 4.085 Å, b = 7.736 Å, c = 8.038 Å
α = 118.77°, β = 104.72°, γ = 90.00°
Positions (direct):
Ag 0.765 0.265 0.530
Ag 0.500 0.193 0.000
Ag 0.235 0.735 0.470
Ag 0.500 0.807 0.000
Al 0.321 0.510 0.642
Al 0.679 0.490 0.358
Al 0.321 0.132 0.642
Al 0.679 0.868 0.358
Mg 0.115 0.115 0.229
Mg 0.885 0.885 0.771
Mg 0.000 0.500 0.000

## Properties
SG: No. 71
Formation energy in eV per formula unit: -0.69
DFT total energy in eV for the cell shown: -31.85



9.
First-principles (PBE) data for a relaxed structure of MgAl2Ag, as listed in the Alexandria database.

a = 2.987 Å, b = 4.019 Å, c = 5.956 Å
α = 90.00°, β = 90.00°, γ = 90.00°
Positions (direct):
Al 0.000 0.000 0.006
Al 0.500 0.500 0.235
Mg 0.000 0.000 0.504
Ag 0.500 0.500 0.755

## Properties
SG: No. 25
Formation energy in eV per formula unit: -0.20
DFT total energy in eV for the cell shown: -12.13



10.
First-principles (PBE) data for a relaxed structure of MgAl6Ag6, as listed in the Alexandria database.

a = 5.417 Å, b = 5.417 Å, c = 9.073 Å
α = 90.00°, β = 90.00°, γ = 120.03°
Positions (direct):
Al 0.000 0.500 0.754
Al 0.500 0.000 0.246
Al 0.500 0.000 0.754
Al 0.500 0.500 0.754
Al 0.500 0.500 0.246
Al 0.000 0.500 0.246
Ag 0.667 0.333 0.000
Ag 0.334 0.666 0.500
Ag 0.666 0.334 0.500
Ag 0.333 0.667 0.000
Ag 0.000 0.000 0.677
Ag 0.000 0.000 0.323
Mg 0.000 0.000 0.000

## Properties
SG: No. 191
Formation energy in eV per formula unit: -0.45
DFT total energy in eV for the cell shown: -41.61



11.
First-principles (PBE) data for a relaxed structure of MgAlAg5, as listed in the Alexandria database.

a = 4.855 Å, b = 4.855 Å, c = 10.950 Å
α = 90.00°, β = 90.00°, γ = 81.86°
Positions (direct):
Al 0.000 0.000 0.500
Al 0.000 0.000 0.000
Ag 0.155 0.442 0.390
Ag 0.558 0.845 0.390
Ag 0.936 0.064 0.750
Ag 0.845 0.558 0.610
Ag 0.558 0.845 0.110
Ag 0.442 0.155 0.610
Ag 0.845 0.558 0.890
Ag 0.442 0.155 0.890
Ag 0.155 0.442 0.110
Ag 0.064 0.936 0.250
Mg 0.353 0.647 0.750
Mg 0.647 0.353 0.250

## Properties
Excess energy over the best structure of this formula in the dataset in kJ per mole of atoms: 0.0
SG: No. 63
Formation energy in eV per formula unit: -0.50
DFT total energy in eV for the cell shown: -40.19



12.
First-principles (PBE) data for a relaxed structure of MgAlAg3, as listed in the Alexandria database.

a = 4.134 Å, b = 7.335 Å, c = 8.752 Å
α = 128.91°, β = 89.50°, γ = 107.05°
Positions (direct):
Ag 0.390 0.786 0.012
Ag 0.914 0.827 0.787
Ag 0.581 0.167 0.464
Ag 0.610 0.214 0.988
Ag 0.419 0.833 0.536
Ag 0.086 0.173 0.213
Mg 0.122 0.237 0.764
Mg 0.878 0.763 0.236
Al 0.747 0.494 0.385
Al 0.253 0.506 0.615

## Properties
Excess energy over the best structure of this formula in the dataset in kJ per mole of atoms: 8.4
SG: No. 2
Formation energy in eV per formula unit: -0.23
DFT total energy in eV for the cell shown: -28.24